No. 1
Density functional theory data (PBE) for crystalline KMgSbSe3 at its relaxed geometry.

Calculated values
Magnetization (μB per cell): 0.000
E_form (uncorrected) (eV/atom): -0.8767
Total DFT energy (no corrections) (eV per atom): -3.75

```
data_KMgSbSe3
_space_group_name_H-M_alt 'P 1 21/m 1'
_space_group_IT_number 11
_cell_length_a 9.5449
_cell_length_b 4.2299
_cell_length_c 9.9037
_cell_angle_alpha 90.00
_cell_angle_beta 103.65
_cell_angle_gamma 90.00
loop_
_space_group_symop_operation_xyz
'x,y,z'
'-x,-y,-z'
'-x,y+1/2,-z'
'x,-y+1/2,z'
loop_
_atom_site_label
_atom_site_fract_x
_atom_site_fract_y
_atom_site_fract_z
K1 0.1863 0.2500 0.2233
Mg1 0.0954 0.2500 0.6040
Sb1 0.3450 0.7500 0.8692
Se1 0.1409 0.2500 0.8728
Se2 0.1859 0.7500 0.5003
Se3 0.4346 0.7500 0.1412
```


No. 2
Density functional theory data (PBE) for crystalline Se2IBrN at its relaxed geometry.

Calculated values
Magnetization (μB per cell): 2.398
E_form (uncorrected) (eV/atom): 1.5968
DOS(E_F) (states/eV/f.u.): 6.0
Total DFT energy (no corrections) (eV per atom): -2.11

```
data_Se2IBrN
_space_group_name_H-M_alt 'P 4/m m m'
_space_group_IT_number 123
_space_group_name_Hall '-P 4 2'
_cell_length_a 5.4439
_cell_length_b 5.4439
_cell_length_c 5.8639
_cell_angle_alpha 90.00
_cell_angle_beta 90.00
_cell_angle_gamma 90.00
loop_
_atom_site_label
_atom_site_fract_x
_atom_site_fract_y
_atom_site_fract_z
Se1 0.0000 0.5000 0.0000
I1 0.0000 0.0000 0.0000
Br1 0.0000 0.0000 0.5000
N1 0.5000 0.5000 0.5000
```